## Na2LiCoCl6 (GGA-PBE)

Data for a geometry-optimized Na2LiCoCl6 structure.

a = 6.650 Å, b = 6.650 Å, c = 6.650 Å
α = 60.00°, β = 60.00°, γ = 60.00°
Element x y z (fractional)
Cl  0.239  0.761  0.761
Na  0.750  0.750  0.750
Cl  0.761  0.761  0.239
Cl  0.239  0.761  0.239
Co  0.000  0.000  0.000
Na  0.250  0.250  0.250
Cl  0.761  0.239  0.761
Cl  0.761  0.239  0.239
Cl  0.239  0.239  0.761
Li  0.500  0.500  0.500

Crystal system ... cubic
Total energy ... -3.45 eV per atom

## ZrGaPO (GGA-PBE)

Data for a geometry-optimized ZrGaPO structure.

a = 3.588 Å, b = 3.588 Å, c = 9.778 Å
α = 90.00°, β = 90.00°, γ = 90.00°
Element x y z (fractional)
O  0.000  0.000  0.000
Ga  0.000  0.000  0.500
Zr  0.000  0.500  0.129
Zr  0.500  0.000  0.871
O  0.500  0.500  0.000
Ga  0.500  0.500  0.500
P  0.000  0.500  0.735
P  0.500  0.000  0.265

Crystal system ... tetragonal
Total energy ... -6.80 eV per atom

## SbAsPdO (GGA-PBE)

Data for a geometry-optimized SbAsPdO structure.

a = 3.231 Å, b = 7.746 Å, c = 6.022 Å
α = 90.00°, β = 90.00°, γ = 90.00°
Element x y z (fractional)
O  0.500  0.421  0.509
As  0.000  0.890  0.322
O  0.500  0.579  0.009
Sb  0.000  0.729  0.905
As  0.000  0.110  0.822
Pd  0.500  0.290  0.018
Pd  0.500  0.710  0.518
Sb  0.000  0.271  0.405

Crystal system ... orthorhombic
Total energy ... -5.03 eV per atom

## Cs2GaHgBr6 (GGA-PBE)

Data for a geometry-optimized Cs2GaHgBr6 structure.

a = 12.656 Å, b = 12.656 Å, c = 6.917 Å
α = 98.55°, β = 98.55°, γ = 25.25°
Element x y z (fractional)
Br  0.058  0.559  0.285
Hg  0.535  0.535  0.699
Cs  0.669  0.669  0.234
Cs  0.321  0.321  0.793
Ga  0.021  0.021  0.788
Br  0.923  0.923  0.818
Br  0.925  0.423  0.733
Br  0.559  0.058  0.285
Br  0.423  0.925  0.733
Br  0.067  0.067  0.132

Crystal system ... monoclinic
Total energy ... -2.38 eV per atom

## YLu2Tc (GGA-PBE)

Data for a geometry-optimized YLu2Tc structure.

a = 5.099 Å, b = 5.099 Å, c = 5.099 Å
α = 60.00°, β = 60.00°, γ = 60.00°
Element x y z (fractional)
Tc  0.750  0.750  0.750
Y  0.500  0.500  0.500
Lu  0.250  0.250  0.250
Lu  0.000  0.000  0.000

Crystal system ... cubic
Total energy ... -6.30 eV per atom

## Er3Re2Mo3N12 (GGA-PBE)

Data for a geometry-optimized Er3Re2Mo3N12 structure.

a = 10.907 Å, b = 10.907 Å, c = 10.907 Å
α = 109.47°, β = 109.47°, γ = 109.47°
Element x y z (fractional)
Mo  0.625  0.750  0.375
N  0.798  0.882  0.977
N  0.916  0.118  0.595
Mo  0.625  0.375  0.250
Re  0.000  0.000  0.500
N  0.679  0.095  0.977
Re  0.500  0.500  0.000
N  0.977  0.679  0.095
N  0.298  0.477  0.382
Mo  0.875  0.125  0.750
N  0.095  0.977  0.679
N  0.095  0.618  0.416
N  0.298  0.321  0.916
N  0.118  0.023  0.202
N  0.382  0.584  0.905
Mo  0.125  0.875  0.250
N  0.405  0.821  0.523
N  0.882  0.977  0.798
N  0.595  0.916  0.118
Mo  0.750  0.875  0.125
Er  0.250  0.375  0.125
Er  0.625  0.250  0.875
N  0.179  0.477  0.595
Er  0.125  0.375  0.750
N  0.798  0.416  0.821
N  0.416  0.821  0.798
Mo  0.250  0.125  0.875
Re  0.000  0.000  0.000
N  0.023  0.202  0.118
N  0.179  0.202  0.584
N  0.702  0.679  0.084
N  0.202  0.584  0.179
N  0.584  0.179  0.202
N  0.023  0.321  0.905
Er  0.375  0.125  0.250
Er  0.625  0.875  0.750
N  0.702  0.523  0.618
N  0.523  0.405  0.821
N  0.584  0.905  0.382
N  0.882  0.405  0.084
Er  0.875  0.750  0.625
N  0.084  0.702  0.679
N  0.595  0.179  0.477
N  0.905  0.023  0.321
N  0.202  0.118  0.023
N  0.382  0.298  0.477
N  0.477  0.382  0.298
Er  0.250  0.875  0.625
N  0.618  0.702  0.523
Mo  0.375  0.625  0.750
N  0.321  0.916  0.298
Er  0.125  0.250  0.375
N  0.977  0.798  0.882
Er  0.750  0.125  0.375
N  0.477  0.595  0.179
Re  0.500  0.000  0.500
N  0.321  0.905  0.023
N  0.118  0.595  0.916
N  0.523  0.618  0.702
N  0.821  0.523  0.405
Re  0.500  0.500  0.500
Mo  0.125  0.750  0.875
N  0.084  0.882  0.405
N  0.905  0.382  0.584
N  0.405  0.084  0.882
Mo  0.375  0.250  0.625
Re  0.000  0.500  0.000
N  0.916  0.298  0.321
Re  0.500  0.000  0.000
N  0.821  0.798  0.416
Er  0.875  0.625  0.250
Er  0.375  0.750  0.125
Er  0.750  0.625  0.875
Mo  0.875  0.250  0.125
Mo  0.750  0.375  0.625
Re  0.000  0.500  0.500
Mo  0.250  0.625  0.375
N  0.618  0.416  0.095
N  0.416  0.095  0.618
N  0.679  0.084  0.702

Crystal system ... cubic
Total energy ... -9.14 eV per atom